(1)
# Ba8NaAu2 PBE relaxed
data_Ba8NaAu2
_chemical_formula_sum 'Ba8 Na1 Au2'
_cell_length_a 10.1122
_cell_length_b 10.1122
_cell_length_c 7.6918
_cell_angle_alpha 98.42
_cell_angle_beta 98.42
_cell_angle_gamma 48.82
_symmetry_space_group_name_H-M 'P 1'
_symmetry_Int_Tables_number 1
loop_
_symmetry_equiv_pos_as_xyz
'x,y,z'
loop_
_atom_site_label
_atom_site_type_symbol
_atom_site_fract_x
_atom_site_fract_y
_atom_site_fract_z
Ba1 Ba 0.0769 0.0769 0.3326
Ba2 Ba 0.1159 0.6131 0.1193
Ba3 Ba 0.2990 0.2990 0.6018
Ba4 Ba 0.3869 0.8841 0.8807
Ba5 Ba 0.6131 0.1159 0.1193
Ba6 Ba 0.7010 0.7010 0.3982
Ba7 Ba 0.8841 0.3869 0.8807
Ba8 Ba 0.9231 0.9231 0.6674
Na1 Na 0.5000 0.5000 0.5000
Au1 Au 0.2294 0.2294 0.1720
Au2 Au 0.7706 0.7706 0.8280
# * total DFT energy (no corrections): -2.3570 eV/atom
# * energy relative to the lowest polymorph listed for this composition: 0.0 meV/atom
# * Fermi-level density of states: 12.961 states/eV per cell
# * symmetry: No. 12

(2)
# K2RuRh PBE relaxed
data_K2RuRh
_chemical_formula_sum 'K2 Ru1 Rh1'
_cell_length_a 6.0300
_cell_length_b 6.0300
_cell_length_c 6.0300
_cell_angle_alpha 139.45
_cell_angle_beta 123.06
_cell_angle_gamma 72.22
_symmetry_space_group_name_H-M 'P 1'
_symmetry_Int_Tables_number 1
loop_
_symmetry_equiv_pos_as_xyz
'x,y,z'
loop_
_atom_site_label
_atom_site_type_symbol
_atom_site_fract_x
_atom_site_fract_y
_atom_site_fract_z
K1 K 0.0000 0.0000 0.0000
K2 K 0.6947 0.1947 0.5000
Ru1 Ru 0.3986 0.3986 0.0000
Rh1 Rh 0.2917 0.7917 0.5000
# * total DFT energy (no corrections): -3.9072 eV/atom
# * energy relative to the lowest polymorph listed for this composition: 266.0 meV/atom
# * Fermi-level density of states: 4.520 states/eV per cell
# * symmetry: No. 44

(3)
# CdP2HS PBE relaxed
data_CdP2HS
_chemical_formula_sum 'Cd1 P2 H1 S1'
_cell_length_a 5.0499
_cell_length_b 5.0499
_cell_length_c 5.0965
_cell_angle_alpha 90.00
_cell_angle_beta 90.00
_cell_angle_gamma 90.00
_symmetry_space_group_name_H-M 'P 1'
_symmetry_Int_Tables_number 1
loop_
_symmetry_equiv_pos_as_xyz
'x,y,z'
loop_
_atom_site_label
_atom_site_type_symbol
_atom_site_fract_x
_atom_site_fract_y
_atom_site_fract_z
Cd1 Cd 0.0000 0.0000 0.0000
P1 P 0.0000 0.5000 0.0000
P2 P 0.5000 0.0000 0.0000
H1 H 0.5000 0.5000 0.5000
S1 S 0.0000 0.0000 0.5000
# * total DFT energy (no corrections): -2.2331 eV/atom
# * energy relative to the lowest polymorph listed for this composition: 1097.4 meV/atom
# * Fermi-level density of states: 4.365 states/eV per cell
# * symmetry: No. 123